Here is crystalline CoTe2As at its relaxed geometry from Alexandria. Energies are from PBE.

Density (g cm⁻³): 7.17
Uncorrected formation energy (eV per atom): 0.19
VASP energy (eV per atom): -4.32

```
data_CoTe2As
_chemical_formula_sum 'Co1 Te2 As1'
_symmetry_space_group_name_H-M 'P 1'
_symmetry_Int_Tables_number 1
_cell_length_a 6.491
_cell_length_b 6.491
_cell_length_c 6.491
_cell_angle_alpha 151.30
_cell_angle_beta 136.43
_cell_angle_gamma 53.01
loop_
_symmetry_equiv_pos_as_xyz
'x,y,z'
loop_
_atom_site_label
_atom_site_type_symbol
_atom_site_fract_x
_atom_site_fract_y
_atom_site_fract_z
_atom_site_occupancy
Co1 Co 0.000 0.000 0.000 1
Te1 Te 0.186 0.686 0.500 1
Te2 Te 0.499 0.499 0.000 1
As1 As 0.850 0.350 0.500 1
```


Here is crystalline TaGaSiOsPb at its relaxed geometry from Alexandria. Energies are from PBE.

Density (g cm⁻³): 11.34
Uncorrected formation energy (eV per atom): 0.10
Energy relative to the lowest polymorph listed for this composition (kJ/mol of formula units): 55
VASP energy (eV per atom): -6.95

```
data_TaGaSiOsPb
_chemical_formula_sum 'Ta1 Ga1 Si1 Os1 Pb1'
_symmetry_space_group_name_H-M 'P 1'
_symmetry_Int_Tables_number 1
_cell_length_a 7.727
_cell_length_b 7.727
_cell_length_c 3.147
_cell_angle_alpha 101.71
_cell_angle_beta 101.71
_cell_angle_gamma 32.63
loop_
_symmetry_equiv_pos_as_xyz
'x,y,z'
loop_
_atom_site_label
_atom_site_type_symbol
_atom_site_fract_x
_atom_site_fract_y
_atom_site_fract_z
_atom_site_occupancy
Ta1 Ta 0.000 0.000 0.000 1
Ga1 Ga 0.159 0.159 0.657 1
Si1 Si 0.481 0.481 0.481 1
Os1 Os 0.612 0.612 0.111 1
Pb1 Pb 0.794 0.794 0.816 1
```


Here is crystalline Nd3N at its relaxed geometry from Alexandria. Energies are from PBE.

Density (g cm⁻³): 7.01
Uncorrected formation energy (eV per atom): -0.61
Energy relative to the lowest polymorph listed for this composition (kJ/mol of formula units): 0
VASP energy (eV per atom): -6.27

```
data_Nd3N
_chemical_formula_sum 'Nd3 N1'
_symmetry_space_group_name_H-M 'P 1'
_symmetry_Int_Tables_number 1
_cell_length_a 7.962
_cell_length_b 7.962
_cell_length_c 7.962
_cell_angle_alpha 152.72
_cell_angle_beta 152.72
_cell_angle_gamma 38.96
loop_
_symmetry_equiv_pos_as_xyz
'x,y,z'
loop_
_atom_site_label
_atom_site_type_symbol
_atom_site_fract_x
_atom_site_fract_y
_atom_site_fract_z
_atom_site_occupancy
Nd1 Nd 0.000 0.000 0.000 1
Nd2 Nd 0.342 0.342 0.000 1
Nd3 Nd 0.658 0.658 0.000 1
N1 N 0.500 0.500 0.000 1
```


Here is crystalline PtRh2W at its relaxed geometry from Alexandria. Energies are from PBE.

Density (g cm⁻³): 16.29
Energy relative to the lowest polymorph listed for this composition (kJ/mol of formula units): 43
Energy of formation from the pure elements (eV/atom): -0.13
VASP energy (eV per atom): -8.56

```
data_PtRh2W
_chemical_formula_sum 'Pt1 Rh2 W1'
_symmetry_space_group_name_H-M 'P 1'
_symmetry_Int_Tables_number 1
_cell_length_a 4.778
_cell_length_b 4.778
_cell_length_c 2.767
_cell_angle_alpha 90.00
_cell_angle_beta 90.00
_cell_angle_gamma 109.40
loop_
_symmetry_equiv_pos_as_xyz
'x,y,z'
loop_
_atom_site_label
_atom_site_type_symbol
_atom_site_fract_x
_atom_site_fract_y
_atom_site_fract_z
_atom_site_occupancy
Pt1 Pt 0.000 0.000 0.000 1
Rh1 Rh 0.000 0.500 0.500 1
Rh2 Rh 0.500 0.000 0.500 1
W1 W 0.500 0.500 0.000 1
```


Here is crystalline ScIrRu2 at its relaxed geometry from Alexandria. Energies are from PBE.

Density (g cm⁻³): 11.90
Energy relative to the lowest polymorph listed for this composition (kJ/mol of formula units): 12
Energy of formation from the pure elements (eV/atom): -0.22
VASP energy (eV per atom): -8.66

```
data_ScIrRu2
_chemical_formula_sum 'Sc1 Ir1 Ru2'
_symmetry_space_group_name_H-M 'P 1'
_symmetry_Int_Tables_number 1
_cell_length_a 4.848
_cell_length_b 4.848
_cell_length_c 4.753
_cell_angle_alpha 100.33
_cell_angle_beta 100.33
_cell_angle_gamma 33.95
loop_
_symmetry_equiv_pos_as_xyz
'x,y,z'
loop_
_atom_site_label
_atom_site_type_symbol
_atom_site_fract_x
_atom_site_fract_y
_atom_site_fract_z
_atom_site_occupancy
Sc1 Sc 0.000 0.000 0.000 1
Ir1 Ir 0.757 0.757 0.253 1
Ru1 Ru 0.238 0.238 0.718 1
Ru2 Ru 0.498 0.498 0.506 1
```


Here is crystalline TbEr2Ga at its relaxed geometry from Alexandria. Energies are from PBE.

Density (g cm⁻³): 8.31
Energy relative to the lowest polymorph listed for this composition (kJ/mol of formula units): 34
Energy of formation from the pure elements (eV/atom): -0.20
VASP energy (eV per atom): -4.39

```
data_TbEr2Ga
_chemical_formula_sum 'Tb1 Er2 Ga1'
_symmetry_space_group_name_H-M 'P 1'
_symmetry_Int_Tables_number 1
_cell_length_a 10.342
_cell_length_b 10.342
_cell_length_c 10.342
_cell_angle_alpha 19.94
_cell_angle_beta 19.94
_cell_angle_gamma 19.94
loop_
_symmetry_equiv_pos_as_xyz
'x,y,z'
loop_
_atom_site_label
_atom_site_type_symbol
_atom_site_fract_x
_atom_site_fract_y
_atom_site_fract_z
_atom_site_occupancy
Tb1 Tb 0.000 0.000 0.000 1
Er1 Er 0.571 0.571 0.571 1
Er2 Er 0.762 0.762 0.762 1
Ga1 Ga 0.166 0.166 0.166 1
```


Here is crystalline Th4RuPt3 at its relaxed geometry from Alexandria. Energies are from PBE.

Density (g cm⁻³): 13.08
Energy of formation from the pure elements (eV/atom): -1.04
VASP energy (eV per atom): -8.18

```
data_Th4RuPt3
_chemical_formula_sum 'Th4 Ru1 Pt3'
_symmetry_space_group_name_H-M 'P 1'
_symmetry_Int_Tables_number 1
_cell_length_a 7.226
_cell_length_b 7.226
_cell_length_c 7.226
_cell_angle_alpha 131.89
_cell_angle_beta 131.89
_cell_angle_gamma 70.40
loop_
_symmetry_equiv_pos_as_xyz
'x,y,z'
loop_
_atom_site_label
_atom_site_type_symbol
_atom_site_fract_x
_atom_site_fract_y
_atom_site_fract_z
_atom_site_occupancy
Th1 Th 0.000 0.500 0.500 1
Th2 Th 0.241 0.241 0.000 1
Th3 Th 0.500 0.000 0.500 1
Th4 Th 0.759 0.759 0.000 1
Ru1 Ru 0.000 0.000 0.000 1
Pt1 Pt 0.250 0.750 0.500 1
Pt2 Pt 0.500 0.500 0.000 1
Pt3 Pt 0.750 0.250 0.500 1
```


Here is crystalline Ac9La4Tl11 at its relaxed geometry from Alexandria. Energies are from PBE.

Density (g cm⁻³): 9.71
Energy of formation from the pure elements (eV/atom): -0.30
VASP energy (eV per atom): -3.75

```
data_Ac9La4Tl11
_chemical_formula_sum 'Ac9 La4 Tl11'
_symmetry_space_group_name_H-M 'P 1'
_symmetry_Int_Tables_number 1
_cell_length_a 14.988
_cell_length_b 14.988
_cell_length_c 3.891
_cell_angle_alpha 90.00
_cell_angle_beta 90.00
_cell_angle_gamma 108.52
loop_
_symmetry_equiv_pos_as_xyz
'x,y,z'
loop_
_atom_site_label
_atom_site_type_symbol
_atom_site_fract_x
_atom_site_fract_y
_atom_site_fract_z
_atom_site_occupancy
Ac1 Ac 0.000 0.000 0.000 1
Ac2 Ac 0.113 0.658 0.000 1
Ac3 Ac 0.294 0.477 0.000 1
Ac4 Ac 0.342 0.887 0.000 1
Ac5 Ac 0.477 0.294 0.000 1
Ac6 Ac 0.523 0.706 0.000 1
Ac7 Ac 0.658 0.113 0.000 1
Ac8 Ac 0.706 0.523 0.000 1
Ac9 Ac 0.887 0.342 0.000 1
La1 La 0.082 0.251 0.000 1
La2 La 0.251 0.082 0.000 1
La3 La 0.749 0.918 0.000 1
La4 La 0.918 0.749 0.000 1
Tl1 Tl 0.088 0.450 0.500 1
Tl2 Tl 0.123 0.877 0.500 1
Tl3 Tl 0.274 0.274 0.500 1
Tl4 Tl 0.316 0.684 0.500 1
Tl5 Tl 0.450 0.088 0.500 1
Tl6 Tl 0.500 0.500 0.500 1
Tl7 Tl 0.550 0.912 0.500 1
Tl8 Tl 0.684 0.316 0.500 1
Tl9 Tl 0.726 0.726 0.500 1
Tl10 Tl 0.877 0.123 0.500 1
Tl11 Tl 0.912 0.550 0.500 1
```